Record 1
Entry from the Alexandria database: crystalline LiHfTlAg2 at its relaxed geometry (GGA-PBE).

## Properties
Calculated formation energy: 0.38 eV/atom
M_tot: 0.0 μB per cell
Raw total energy: -18.05 eV/cell

a b c (Å): 4.4916 4.7859 4.4916
angles (deg): 90.00 90.00 90.00
With the nearest neighbours (Å) after each atom.
Atoms (fractional coordinates):
Tl  0.0000  0.5000  0.0000  2 Li 2.39
Ag  0.0000  0.0000  0.5000  2 Li 2.25
Ag  0.5000  0.0000  0.0000  2 Li 2.25
Li  0.0000  0.0000  0.0000  4 Ag 2.25, 2 Tl 2.39
Hf  0.5000  0.5000  0.5000  4 Tl 3.18, 8 Ag 3.28

Record 2
Entry from the Alexandria database: crystalline InAg2Pd2 at its relaxed geometry (GGA-PBE).

## Properties
ΔE to the lowest computed polymorph: 0.0 kJ/mol of formula units
Calculated formation energy: -0.20 eV/atom
M_tot: 0.0 μB per cell
Raw total energy: -39.68 eV/cell

a b c (Å): 4.6475 5.8700 7.6440
angles (deg): 112.58 107.70 90.00
With the nearest neighbours (Å) after each atom.
Atoms (fractional coordinates):
Ag  0.3724  0.6224  0.2449  6 Pd 2.84-2.91, 2 Ag 2.88, 2 In 2.94
Ag  0.6276  0.3776  0.7551  6 Pd 2.84-2.91, 2 Ag 2.88, 2 In 2.94
Ag  0.9996  0.7496  0.4992  4 Pd 2.84-2.86, 4 Ag 2.88-2.94, 2 In 2.95
Ag  0.0004  0.2504  0.5008  4 Pd 2.84-2.86, 4 Ag 2.88-2.94, 2 In 2.95
Pd  0.1833  0.1843  0.8666  3 In 2.82, 5 Ag 2.84-2.91, 4 Pd 2.92-2.95
Pd  0.8167  0.8157  0.1334  3 In 2.82, 5 Ag 2.84-2.91, 4 Pd 2.92-2.95
Pd  0.1833  0.6823  0.8666  3 In 2.82, 5 Ag 2.84-2.91, 4 Pd 2.92-2.95
Pd  0.8167  0.3177  0.1334  3 In 2.82, 5 Ag 2.84-2.91, 4 Pd 2.92-2.95
In  0.3638  0.1138  0.2277  6 Pd 2.82, 4 Ag 2.94-2.95
In  0.6362  0.8862  0.7723  6 Pd 2.82, 4 Ag 2.94-2.95

Record 3
Entry from the Alexandria database: crystalline LaFe4Ge12 at its relaxed geometry (GGA-PBE).

## Properties
Calculated formation energy: 0.00 eV/atom
M_tot: 4.8 μB per cell
Raw total energy: -94.15 eV/cell

a b c (Å): 7.3649 7.3649 7.3649
angles (deg): 109.47 109.47 109.47
With the nearest neighbours (Å) after each atom.
Atoms (fractional coordinates):
Ge  0.1697  0.6564  0.8262  2 Fe 2.37
Ge  0.6564  0.4867  0.8303  2 Fe 2.37
Ge  0.1739  0.8303  0.3436  2 Fe 2.37
Ge  0.8303  0.6564  0.4867  2 Fe 2.37
Ge  0.6564  0.8261  0.1697  2 Fe 2.37
Ge  0.3436  0.1739  0.8303  2 Fe 2.37
Ge  0.4867  0.8303  0.6564  2 Fe 2.37
Ge  0.5133  0.1697  0.3436  2 Fe 2.37
Ge  0.8261  0.1697  0.6564  2 Fe 2.37
Ge  0.8303  0.3436  0.1739  2 Fe 2.37
Ge  0.1697  0.3436  0.5133  2 Fe 2.37
Ge  0.3436  0.5133  0.1697  2 Fe 2.37
Fe  0.0000  0.5000  0.0000  6 Ge 2.37
Fe  0.5000  0.0000  0.0000  6 Ge 2.37
Fe  0.0000  0.0000  0.5000  6 Ge 2.37
Fe  0.5000  0.5000  0.5000  6 Ge 2.37
La  0.0000  0.0000  0.0000  12 Ge 3.26

Question: raw total energy of number 3 (LaFe4Ge12)?
Answer: -94.15 eV/cell

Question: Which of these has the lowest calculated formation energy?
Answer: InAg2Pd2